Entry 1:
A plane-wave DFT calculation with GGA-PBEsol was carried out for crystalline TiCu2Au at its relaxed geometry.

Results
SG = Fm-3m (225)
E = -5.437 eV/atom
Fermi-level density of states = 2.474 states/eV/cell
V = 55 Å³ per cell
ΔH_f (0 K) = -80 kJ/mol of formula units

```
TiCu2Au
1.0
-2.894 -0.884 -2.994
-0.706 -4.037 -1.151
-3.652 -1.910 1.068
Au Cu Ti
1 2 1
direct
0.500 0.500 0.500
0.250 0.250 0.250
0.750 0.750 0.750
0.000 0.000 0.000
```

***

Entry 2:
A plane-wave DFT calculation with GGA-PBEsol was carried out for crystalline HfNiP2O at its relaxed geometry.

Results
SG = P4/mmm (123)
Formation energy without anion corrections = 0.01 eV per atom
E = -6.686 eV/atom
Fermi-level density of states = 4.953 states/eV/cell
V = 96 Å³ per cell

```
HfNiP2O
1.0
3.830 0.000 0.000
0.000 5.018 0.000
0.000 0.000 5.018
Ni Hf O P
1 1 1 2
direct
0.500 0.500 0.500
0.000 0.000 0.000
0.500 0.000 0.000
0.000 0.000 0.500
0.000 0.500 0.000
```

***

Entry 3:
A plane-wave DFT calculation with GGA-PBEsol was carried out for crystalline BeRhW3 at its relaxed geometry.

Results
SG = Pm-3m (221)
E = -8.355 eV/atom
Fermi-level density of states = 3.908 states/eV/cell
V = 99 Å³ per cell
ΔH_f (0 K) = 1137 kJ/mol of formula units

```
BeRhW3
1.0
4.623 0.000 0.000
0.000 4.623 0.000
0.000 0.000 4.623
Be Rh W
1 1 3
direct
0.500 0.500 0.500
0.000 0.000 0.000
0.000 0.500 0.000
0.000 0.000 0.500
0.500 0.000 0.000
```

***

Entry 4:
A plane-wave DFT calculation with GGA-PBEsol was carried out for crystalline TaBe2Re at its relaxed geometry.

Results
SG = P4/mmm (123)
E = -8.461 eV/atom
Fermi-level density of states = 1.736 states/eV/cell
V = 48 Å³ per cell
Energy above the lowest structure with this stoichiometry = 0.373 eV per atom
ΔH_f (0 K) = 4 kJ/mol of formula units

```
TaBe2Re
1.0
-0.730 -0.790 2.835
2.338 -1.930 0.064
3.108 3.827 1.866
Re Be Ta
1 2 1
direct
0.500 0.500 0.000
0.000 0.000 0.790
0.000 0.000 0.210
0.500 0.500 0.500
```

***

Entry 5:
A plane-wave DFT calculation with GGA-PBEsol was carried out for crystalline InMo2As at its relaxed geometry.

Results
SG = R-3m (166)
E = -7.705 eV/atom
Fermi-level density of states = 2.405 states/eV/cell
V = 66 Å³ per cell
Energy above the lowest structure with this stoichiometry = 0.000 eV per atom
ΔH_f (0 K) = 78 kJ/mol of formula units

```
InMo2As
1.0
-2.759 -1.013 0.621
-1.798 -0.921 -2.223
1.553 -8.530 0.248
Mo As In
2 1 1
direct
0.241 0.241 0.276
0.759 0.759 0.724
0.500 0.500 0.500
0.000 0.000 0.000
```

***

Entry 6:
A plane-wave DFT calculation with GGA-PBEsol was carried out for crystalline Na2ZnP4H16O20 at its relaxed geometry.

Results
SG = P2_1/c (14)
E = -5.887 eV/atom
Fermi-level density of states = 0.000 states/eV/cell
V = 813 Å³ per cell

```
Na2ZnP4H16O20
1.0
7.150 0.000 -0.082
0.000 10.648 0.000
-2.069 0.000 10.698
Na Zn P H O
4 2 8 32 40
direct
0.747 0.826 0.462
0.753 0.326 0.038
0.253 0.174 0.538
0.247 0.674 0.962
0.500 0.500 0.500
0.000 0.000 0.000
0.234 0.766 0.417
0.266 0.266 0.083
0.766 0.234 0.583
0.734 0.734 0.917
0.739 0.543 0.282
0.761 0.043 0.218
0.261 0.457 0.718
0.239 0.957 0.782
0.360 0.947 0.383
0.140 0.447 0.117
0.640 0.053 0.617
0.860 0.553 0.883
0.161 0.902 0.561
0.339 0.402 0.939
0.839 0.098 0.439
0.661 0.598 0.061
0.824 0.407 0.431
0.676 0.907 0.069
0.176 0.593 0.569
0.324 0.093 0.931
0.933 0.710 0.287
0.567 0.210 0.213
0.067 0.290 0.713
0.433 0.790 0.787
0.688 0.666 0.662
0.812 0.166 0.838
0.312 0.334 0.338
0.188 0.834 0.162
0.853 0.593 0.610
0.647 0.093 0.890
0.147 0.407 0.390
0.353 0.907 0.110
0.675 0.877 0.702
0.825 0.377 0.798
0.325 0.123 0.298
0.175 0.623 0.202
0.861 0.960 0.714
0.639 0.460 0.786
0.139 0.040 0.286
0.361 0.540 0.214
0.410 0.853 0.415
0.090 0.353 0.085
0.590 0.147 0.585
0.910 0.647 0.915
0.126 0.745 0.280
0.374 0.245 0.220
0.874 0.255 0.720
0.626 0.755 0.780
0.094 0.835 0.487
0.406 0.335 0.013
0.906 0.165 0.513
0.594 0.665 0.987
0.299 0.643 0.484
0.201 0.143 0.016
0.701 0.357 0.516
0.799 0.857 0.984
0.889 0.455 0.367
0.611 0.955 0.133
0.111 0.545 0.633
0.389 0.045 0.867
0.737 0.513 0.145
0.763 0.013 0.355
0.263 0.487 0.855
0.237 0.987 0.645
0.801 0.684 0.309
0.699 0.184 0.191
0.199 0.316 0.691
0.301 0.816 0.809
0.546 0.528 0.321
0.954 0.028 0.179
0.454 0.472 0.679
0.046 0.972 0.821
0.723 0.630 0.585
0.777 0.130 0.915
0.277 0.370 0.415
0.223 0.870 0.085
0.735 0.942 0.654
0.765 0.442 0.846
0.265 0.058 0.346
0.235 0.558 0.154
```

***

Entry 7:
A plane-wave DFT calculation with GGA-PBEsol was carried out for crystalline FeTcRu2 at its relaxed geometry.

Results
SG = Pmmm (47)
E = -9.766 eV/atom
Fermi-level density of states = 5.583 states/eV/cell
V = 53 Å³ per cell
Energy above the lowest structure with this stoichiometry = 0.269 eV per atom
ΔH_f (0 K) = 146 kJ/mol of formula units

```
FeTcRu2
1.0
-2.044 -1.722 0.707
1.529 -2.959 -2.783
2.525 -1.690 3.184
Fe Ru Tc
1 2 1
direct
0.000 0.500 0.500
0.000 0.000 0.000
0.500 0.000 0.500
0.500 0.500 0.000
```

***

Entry 8:
A plane-wave DFT calculation with GGA-PBEsol was carried out for crystalline ScIr3 at its relaxed geometry.

Results
SG = P6_3/mmc (194)
E = -9.545 eV/atom
Fermi-level density of states = 7.991 states/eV/cell
V = 119 Å³ per cell
ΔH_f (0 K) = -203 kJ/mol of formula units

```
ScIr3
1.0
-4.089 -1.741 -0.452
0.776 -0.401 -5.476
1.425 -4.208 3.317
Ir Sc
6 2
direct
0.750 0.165 0.330
0.250 0.835 0.670
0.750 0.165 0.835
0.250 0.835 0.165
0.750 0.670 0.835
0.250 0.330 0.165
0.750 0.667 0.333
0.250 0.333 0.667
```

***

Entry 9:
A plane-wave DFT calculation with GGA-PBEsol was carried out for crystalline FeMo2Se at its relaxed geometry.

Results
SG = P4/mmm (123)
Formation energy without anion corrections = 0.08 eV per atom
E = -9.004 eV/atom
Fermi-level density of states = 1.530 states/eV/cell
V = 55 Å³ per cell

```
FeMo2Se
1.0
2.891 0.000 0.000
0.000 2.891 0.000
0.000 0.000 6.562
Fe Mo Se
1 2 1
direct
0.500 0.500 0.500
0.000 0.000 0.745
0.000 0.000 0.255
0.500 0.500 0.000
```

***

Entry 10:
A plane-wave DFT calculation with GGA-PBEsol was carried out for crystalline BaIn2GaHg at its relaxed geometry.

Results
SG = P4/mmm (123)
E = -2.375 eV/atom
Fermi-level density of states = 3.790 states/eV/cell
V = 160 Å³ per cell
ΔH_f (0 K) = 14 kJ/mol of formula units

```
BaIn2GaHg
1.0
-1.196 0.512 -4.868
5.080 -1.968 -1.456
-2.050 -5.254 -0.049
In Hg Ga Ba
2 1 1 1
direct
0.000 0.000 0.500
0.000 0.500 0.000
0.000 0.000 0.000
0.500 0.000 0.000
0.500 0.500 0.500
```

***

Entry 11:
A plane-wave DFT calculation with GGA-PBEsol was carried out for crystalline IrOsPb3 at its relaxed geometry.

Results
SG = Pm-3m (221)
E = -5.356 eV/atom
Fermi-level density of states = 6.921 states/eV/cell
V = 134 Å³ per cell
ΔH_f (0 K) = 700 kJ/mol of formula units

```
IrOsPb3
1.0
-4.542 -0.231 -2.348
-2.344 -0.144 4.548
-0.271 5.111 0.023
Pb Ir Os
3 1 1
direct
0.000 0.500 0.000
0.000 0.000 0.500
0.500 0.000 0.000
0.000 0.000 0.000
0.500 0.500 0.500
```

***

Entry 12:
A plane-wave DFT calculation with GGA-PBEsol was carried out for crystalline Zr2CrTe at its relaxed geometry.

Results
SG = I4/mmm (139)
Formation energy without anion corrections = -0.07 eV per atom
E = -8.054 eV/atom
Fermi-level density of states = 4.327 states/eV/cell
V = 78 Å³ per cell

```
Zr2CrTe
1.0
4.249 0.000 0.000
0.000 4.249 0.000
-2.125 -2.125 4.300
Cr Te Zr
1 1 2
direct
0.500 0.500 0.000
0.000 0.000 0.000
0.750 0.250 0.500
0.250 0.750 0.500
```

***

Entry 13:
A plane-wave DFT calculation with GGA-PBEsol was carried out for crystalline LiAgF4 at its relaxed geometry.

Results
SG = P2_1/c (14)
Formation energy without anion corrections = -1.69 eV per atom
E = -3.854 eV/atom
Fermi-level density of states = 0.000 states/eV/cell
V = 331 Å³ per cell
Energy above the lowest structure with this stoichiometry = 0.037 eV per atom

```
LiAgF4
1.0
5.908 0.006 0.000
-1.878 6.705 0.000
0.000 0.000 8.361
Li Ag F
4 4 16
direct
0.821 0.168 0.487
0.679 0.332 0.987
0.321 0.668 0.013
0.179 0.832 0.513
0.889 0.884 0.170
0.611 0.616 0.670
0.389 0.384 0.330
0.111 0.116 0.830
0.934 0.220 0.985
0.846 0.044 0.688
0.869 0.678 0.521
0.713 0.002 0.311
0.787 0.498 0.811
0.654 0.456 0.188
0.566 0.280 0.485
0.369 0.178 0.979
0.631 0.822 0.021
0.434 0.720 0.515
0.346 0.544 0.812
0.213 0.502 0.189
0.287 0.998 0.689
0.131 0.322 0.479
0.154 0.956 0.312
0.066 0.780 0.015
```

***

Entry 14:
A plane-wave DFT calculation with GGA-PBEsol was carried out for crystalline ZrAuCl4 at its relaxed geometry.

Results
SG = F-43m (216)
Formation energy without anion corrections = 0.34 eV per atom
E = -3.166 eV/atom
Fermi-level density of states = 6.358 states/eV/cell
V = 116 Å³ per cell

```
ZrAuCl4
1.0
-0.389 -3.790 -3.925
-2.433 -4.785 1.051
-4.864 -1.142 -2.226
Au Cl Zr
1 4 1
direct
0.000 0.000 0.000
0.375 0.375 0.375
0.375 0.375 0.875
0.875 0.375 0.375
0.375 0.875 0.375
0.750 0.750 0.750
```

***

Entry 15:
A plane-wave DFT calculation with GGA-PBEsol was carried out for crystalline TiCrTeN2 at its relaxed geometry.

Results
SG = P4/mmm (123)
Formation energy without anion corrections = 0.42 eV per atom
E = -7.411 eV/atom
Fermi-level density of states = 5.290 states/eV/cell
V = 74 Å³ per cell

```
TiCrTeN2
1.0
3.744 0.000 0.000
0.000 3.744 0.000
0.000 0.000 5.247
Cr N Te Ti
1 2 1 1
direct
0.000 0.000 0.000
0.000 0.500 0.000
0.500 0.000 0.000
0.000 0.000 0.500
0.500 0.500 0.500
```

***

Entry 16:
A plane-wave DFT calculation with GGA-PBEsol was carried out for crystalline TlPtS2Cl at its relaxed geometry.

Results
SG = P4/mmm (123)
Formation energy without anion corrections = -0.02 eV per atom
E = -4.096 eV/atom
Fermi-level density of states = 6.293 states/eV/cell
V = 109 Å³ per cell

```
TlPtS2Cl
1.0
4.679 0.000 0.000
0.000 4.679 0.000
0.000 0.000 4.962
Tl S Pt Cl
1 2 1 1
direct
0.500 0.500 0.500
0.000 0.500 0.000
0.500 0.000 0.000
0.000 0.000 0.000
0.000 0.000 0.500
```

***

Entry 17:
A plane-wave DFT calculation with GGA-PBEsol was carried out for crystalline AlSiPt2 at its relaxed geometry.

Results
SG = P4mm (99)
Formation energy without anion corrections = -0.81 eV per atom
E = -6.754 eV/atom
Fermi-level density of states = 1.429 states/eV/cell
V = 58 Å³ per cell

```
AlSiPt2
1.0
3.371 0.000 0.000
0.000 3.371 0.000
0.000 0.000 5.117
Si Al Pt
1 1 2
direct
0.000 0.000 0.463
0.500 0.500 0.782
0.000 0.000 0.953
0.500 0.500 0.302
```

***

Entry 18:
A plane-wave DFT calculation with GGA-PBEsol was carried out for crystalline TlTe2As at its relaxed geometry.

Results
SG = C2/m (12)
Formation energy without anion corrections = 0.04 eV per atom
E = -3.659 eV/atom
Fermi-level density of states = 1.320 states/eV/cell
V = 114 Å³ per cell

```
TlTe2As
1.0
4.342 0.000 -0.046
0.000 4.341 0.000
-2.097 -2.170 6.093
Tl Te As
1 2 1
direct
0.000 0.000 0.000
0.732 0.732 0.464
0.268 0.268 0.536
0.500 0.500 0.000
```

***

Entry 19:
A plane-wave DFT calculation with GGA-PBEsol was carried out for crystalline ZnRuSe2 at its relaxed geometry.

Results
SG = P2/m (10)
Formation energy without anion corrections = 0.04 eV per atom
E = -4.821 eV/atom
Fermi-level density of states = 3.043 states/eV/cell
V = 81 Å³ per cell

```
ZnRuSe2
1.0
-2.466 1.593 2.109
-3.357 -3.138 -1.554
2.751 -1.313 4.209
Ru Se Zn
1 2 1
direct
0.500 0.500 0.500
0.000 0.326 0.152
0.000 0.674 0.848
0.500 0.000 0.500
```

***

Entry 20:
A plane-wave DFT calculation with GGA-PBEsol was carried out for crystalline AlAsRhBr2 at its relaxed geometry.

Results
SG = P4/mmm (123)
Formation energy without anion corrections = 0.67 eV per atom
E = -3.543 eV/atom
Fermi-level density of states = 7.224 states/eV/cell
V = 114 Å³ per cell

```
AlAsRhBr2
1.0
-3.487 -2.831 1.675
0.234 -2.648 -3.989
3.384 -2.908 2.129
As Rh Al Br
1 1 1 2
direct
0.000 0.000 0.500
0.500 0.500 0.500
0.000 0.000 0.000
0.000 0.500 0.000
0.500 0.000 0.000
```

***

Entry 21:
A plane-wave DFT calculation with GGA-PBEsol was carried out for crystalline CrGeSeN2 at its relaxed geometry.

Results
SG = P4/mmm (123)
Formation energy without anion corrections = 1.03 eV per atom
E = -6.184 eV/atom
Fermi-level density of states = 4.136 states/eV/cell
V = 74 Å³ per cell

```
CrGeSeN2
1.0
-0.868 -1.707 3.138
1.654 -3.055 -1.204
4.743 1.689 2.231
Cr Ge Se N
1 1 1 2
direct
0.500 0.500 0.500
0.000 0.000 0.000
0.000 0.000 0.500
0.000 0.500 0.000
0.500 0.000 0.000
```

***

Entry 22:
A plane-wave DFT calculation with GGA-PBEsol was carried out for crystalline Mg3Mn at its relaxed geometry.

Results
SG = Fm-3m (225)
E = -3.470 eV/atom
Fermi-level density of states = 2.186 states/eV/cell
V = 76 Å³ per cell
ΔH_f (0 K) = 100 kJ/mol of formula units

```
Mg3Mn
1.0
-0.282 4.561 1.324
-4.250 2.100 0.411
-1.690 1.128 4.303
Mg Mn
3 1
direct
0.250 0.250 0.250
0.500 0.500 0.500
0.750 0.750 0.750
0.000 0.000 0.000
```